(P)
## ReAg2P2 (GGA-PBE)

Data for a relaxed ReAg2P2 crystal.

extended XYZ file:
```
10
Lattice="7.2592 0.0000 0.0000 0.0000 7.2592 0.0000 0.0000 0.0000 3.1006" Properties=species:S:1:pos:R:3 pbc="T T T"
Ag 6.3226 4.5662 0.0000
Ag 2.6930 6.3226 0.0000
Ag 4.5662 0.9366 0.0000
Ag 0.9366 2.6930 0.0000
P 1.3136 4.9432 1.5503
P 4.9432 5.9456 1.5503
P 2.3160 1.3136 1.5503
P 5.9456 2.3160 1.5503
Re 3.6296 3.6296 0.0000
Re 0.0000 0.0000 0.0000
```

Output
density of states at the Fermi level: 3.90 states/eV/f.u.

(Q)
## ReAg2P2 (GGA-PBE)

Data for a relaxed ReAg2P2 crystal.

extended XYZ file:
```
5
Lattice="3.1001 0.0000 0.0000 0.0000 3.1001 0.0000 1.5501 1.5501 8.9251" Properties=species:S:1:pos:R:3 pbc="T T T"
Re 0.0000 0.0000 0.0000
P 1.5501 3.1001 4.4626
P 3.1001 1.5501 4.4626
Ag 3.1001 3.1001 7.1017
Ag 1.5501 1.5501 1.8234
```

Output
density of states at the Fermi level: 4.35 states/eV/f.u.

Tell me which of them is the least stable. Sure, it is (P).

(P)
## ReAgP3 (GGA-PBE)

Data for a relaxed ReAgP3 crystal.

extended XYZ file:
```
5
Lattice="4.6876 0.0000 0.0000 0.0000 4.6876 0.0000 0.0000 0.0000 4.6876" Properties=species:S:1:pos:R:3 pbc="T T T"
P 0.0000 0.0000 2.3438
P 0.0000 2.3438 0.0000
P 2.3438 0.0000 0.0000
Ag 0.0000 0.0000 0.0000
Re 2.3438 2.3438 2.3438
```

Output
density of states at the Fermi level: 5.47 states/eV/f.u.

(Q)
## ReAgP3 (GGA-PBE)

Data for a relaxed ReAgP3 crystal.

extended XYZ file:
```
5
Lattice="-0.2780 2.9954 -3.5594 -4.6517 -0.1337 0.2507 0.0590 3.5677 2.9978" Properties=species:S:1:pos:R:3 pbc="T T T"
P -2.3258 -0.0669 0.1254
P 0.0295 1.7839 1.4989
P -0.1390 1.4977 -1.7797
Re 0.0000 0.0000 0.0000
Ag -2.4353 3.2147 -0.1554
```

Output
density of states at the Fermi level: 6.01 states/eV/f.u.

Tell me which of them is the least stable. Sure, it is (P).

(P)
## AgP2Rh (GGA-PBE)

Data for a relaxed AgP2Rh crystal.

extended XYZ file:
```
4
Lattice="-4.3313 6.5783 0.4201 -6.4778 4.4154 0.8678 -4.7617 5.3943 3.2306" Properties=species:S:1:pos:R:3 pbc="T T T"
P -15.4111 16.2199 4.4721
P -7.9451 8.3621 2.3056
Rh -3.8927 4.0970 1.1296
Ag -11.6781 12.2910 3.3888
```

Output
density of states at the Fermi level: 2.59 states/eV/f.u.

(Q)
## AgP2Rh (GGA-PBE)

Data for a relaxed AgP2Rh crystal.

extended XYZ file:
```
4
Lattice="-1.4704 2.8040 2.8499 -3.9087 1.1491 1.2446 -0.2642 -3.4892 3.9980" Properties=species:S:1:pos:R:3 pbc="T T T"
Ag -1.2428 -0.0319 1.9204
Rh -2.9292 -0.2168 4.6722
P -4.5137 1.0040 5.8203
P -5.4224 0.4047 7.8183
```

Output
density of states at the Fermi level: 1.94 states/eV/f.u.

Tell me which of them is the least stable. Sure, it is (P).

(P)
## AgPRh (GGA-PBE)

Data for a relaxed AgPRh crystal.

extended XYZ file:
```
3
Lattice="-1.5374 1.5374 4.9637 1.5374 -1.5374 4.9637 1.5374 1.5374 -4.9637" Properties=species:S:1:pos:R:3 pbc="T T T"
Rh 0.0000 0.0000 6.9681
Ag 0.0000 0.0000 9.9040
P 0.0000 0.0000 2.9827
```

Output
density of states at the Fermi level: 1.18 states/eV/f.u.

(Q)
## AgPRh (GGA-PBE)

Data for a relaxed AgPRh crystal.

extended XYZ file:
```
3
Lattice="2.3922 -1.4896 -2.9729 2.6387 -3.0248 0.8168 -0.6728 -3.7601 -1.4794" Properties=species:S:1:pos:R:3 pbc="T T T"
Rh 0.0000 0.0000 0.0000
P 1.0895 -2.0686 -0.9089
Ag 2.1790 -4.1373 -1.8178
```

Output
density of states at the Fermi level: 4.04 states/eV/f.u.

Tell me which of them is the least stable. Sure, it is (Q).

(P)
## AgPRh (GGA-PBE)

Data for a relaxed AgPRh crystal.

extended XYZ file:
```
3
Lattice="-0.8690 3.4121 -1.7802 -2.6773 -2.8952 0.1299 -1.2487 1.2934 3.0887" Properties=species:S:1:pos:R:3 pbc="T T T"
P -2.0961 1.9564 0.4009
Rh -2.6989 -0.1460 1.0376
Ag 0.0000 0.0000 0.0000
```

Output
density of states at the Fermi level: 1.11 states/eV/f.u.

(Q)
## AgPRh (GGA-PBE)

Data for a relaxed AgPRh crystal.

extended XYZ file:
```
3
Lattice="1.5446 -2.6754 0.0000 1.5446 2.6754 0.0000 0.0000 0.0000 6.1062" Properties=species:S:1:pos:R:3 pbc="T T T"
P 1.5446 -0.8918 2.3618
Rh 1.5446 0.8918 3.7572
Ag 0.0000 0.0000 6.0935
```

Output
density of states at the Fermi level: 2.28 states/eV/f.u.

Tell me which of them is the least stable. Sure, it is (Q).

(P)
## AgP2RhS (GGA-PBE)

Data for a relaxed AgP2RhS crystal.

extended XYZ file:
```
5
Lattice="-1.6606 2.1458 -3.8229 1.6499 -3.4815 -2.6709 -4.1243 -2.3269 0.4854" Properties=species:S:1:pos:R:3 pbc="T T T"
S -2.0621 -1.1635 0.2427
P 0.8250 -1.7408 -1.3354
P -0.8303 1.0729 -1.9115
Ag 0.0000 0.0000 0.0000
Rh -2.0675 -1.8313 -3.0042
```

Output
density of states at the Fermi level: 4.39 states/eV/f.u.

(Q)
## AgP2RhS (GGA-PBE)

Data for a relaxed AgP2RhS crystal.

extended XYZ file:
```
5
Lattice="-0.6457 2.8808 3.3348 -1.2283 -3.3545 2.6600 4.9357 -0.6228 1.4937" Properties=species:S:1:pos:R:3 pbc="T T T"
P -0.3229 1.4404 1.6674
P -0.6141 -1.6772 1.3300
S 2.4678 -0.3114 0.7469
Ag 1.5308 -0.5482 3.7442
Rh 0.0000 0.0000 0.0000
```

Output
density of states at the Fermi level: 3.64 states/eV/f.u.

Tell me which of them is the least stable. Sure, it is (P).